Record 1
Entry from Alexandria: an optimized crystal structure of SrLaGePt (PBE).

The space group is F-43m (No. 216) and the conventional cell measures 7.464, 7.464 and 7.464 Å, with angles of 90.00, 90.00 and 90.00 degrees. The distinct sites, in fractional coordinates, are Sr at (0.000, 0.000, 0.000), La at (0.000, 0.000, 0.500), Ge at (0.250, 0.250, 0.750) and Pt at (0.250, 0.250, 0.250).

Its crystal system is cubic. Its total magnetization is 0.00 μB per cell. As for the density of states at the Fermi level: 11.94 states/eV/cell. As for the formation energy: -0.720 eV/atom. For the energy, the calculation gives -5.0369 eV per atom.

---

Record 2
Entry from Alexandria: an optimized crystal structure of La2TaGe3Pt4 (PBE).

The space group is P-4m2 (No. 115) and the conventional cell measures 4.405, 4.405 and 10.394 Å, with angles of 90.00, 90.00 and 90.00 degrees. The distinct sites, in fractional coordinates, are La at (0.000, 0.500, 0.245), Ta at (0.000, 0.000, 0.500), Ge at (0.000, 0.500, 0.872), Ge at (0.500, 0.500, 0.500), Pt at (0.000, 0.000, 0.000), Pt at (0.000, 0.500, 0.632) and Pt at (0.500, 0.500, 0.000).

Its crystal system is tetragonal. Its total magnetization is 0.00 μB per cell. As for the density of states at the Fermi level: 7.04 states/eV/cell. As for the formation energy: -0.889 eV/atom. For the energy, the calculation gives -6.8613 eV per atom.

---

Record 3
Entry from Alexandria: an optimized crystal structure of LaTbGe2Pt5 (PBE).

The space group is P4/mmm (No. 123) and the conventional cell measures 4.357, 4.357 and 9.019 Å, with angles of 90.00, 90.00 and 90.00 degrees. The distinct sites, in fractional coordinates, are La at (0.000, 0.000, 0.000), Tb at (0.000, 0.000, 0.500), Ge at (0.500, 0.500, 0.365), Pt at (0.000, 0.500, 0.234) and Pt at (0.500, 0.500, 0.000).

Its crystal system is tetragonal. Its total magnetization is 0.00 μB per cell. As for the density of states at the Fermi level: 3.11 states/eV/cell. As for the formation energy: -0.882 eV/atom. For the energy, the calculation gives -6.3265 eV per atom.